! ScTlOs2 (GGA-PBE, relaxed); values from VASP
! **V**: 71 Å³/cell
! **Raw total energy**: -0.2674 hartree per atom
! **Energy of formation from the pure elements**: 0.513 eV/atom
&SYSTEM
  ibrav = 0, nat = 4, ntyp = 3
/
ATOMIC_SPECIES
Os 190.23 Os.upf
Tl 204.38 Tl.upf
Sc 44.96 Sc.upf
ATOMIC_POSITIONS crystal
Os 0.506 0.506 0.506
Tl 0.750 0.750 0.750
Sc 0.250 0.250 0.250
Os 0.994 0.994 0.994
CELL_PARAMETERS angstrom
9.420 0.050 0.029
8.933 2.991 0.029
8.933 1.480 2.600